1.
The following is a DFT calculation (PBE-GGA) of a relaxed structure of CeDy3Y6.

Structure (extended XYZ):
```
20
Lattice="7.4792 0.0000 0.0000 0.0000 9.3938 0.0000 -7.4773 0.0000 9.3945" Properties=species:S:1:pos:R:3 pbc="T T T"
Ce 0.0000 0.0000 0.0000
Ce -3.7387 4.6969 4.6973
Dy -1.8697 1.6165 3.0881
Dy -5.6083 3.0804 7.7854
Dy 3.7396 0.0000 0.0000
Dy 0.0009 4.6969 4.6973
Dy 5.6102 6.3134 1.6092
Dy 1.8715 7.7773 6.3064
Y -3.7468 1.1581 5.9056
Y -0.0082 3.5388 1.2083
Y -3.7441 5.9053 8.2359
Y -0.0055 8.1854 3.5387
Y 1.8711 6.3121 1.6223
Y -1.8676 7.7786 6.3195
Y 1.8694 1.6152 3.0750
Y -1.8692 3.0817 7.7723
Y 0.0074 1.2084 5.8559
Y 3.7460 3.4885 1.1586
Y 0.0101 5.8550 8.1862
Y 3.7487 8.2357 3.4890
```

space group	No. 14
spin magnetization	0.1238	μB per atom
density of states at the Fermi level	1.60	states/eV/atom
calculated formation energy	3.28	kcal/mol of atoms

---

2.
The following is a DFT calculation (PBE-GGA) of a relaxed structure of Ce2Dy7Y2.

Structure (extended XYZ):
```
11
Lattice="5.2794 -9.4642 0.0000 5.2794 9.4642 0.0000 0.0000 0.0000 3.5659" Properties=species:S:1:pos:R:3 pbc="T T T"
Ce 5.2794 5.0052 0.0000
Ce 5.2794 -5.0052 0.0000
Dy 5.2794 7.8093 1.7830
Dy 3.0732 3.0415 1.7830
Dy 3.0732 -3.0415 1.7830
Dy 5.2794 0.0000 1.7830
Dy 7.4857 3.0415 1.7830
Dy 7.4857 -3.0415 1.7830
Dy 5.2794 -7.8093 1.7830
Y 2.3946 0.0000 0.0000
Y 8.1642 0.0000 0.0000
```

space group	No. 65
spin magnetization	0.1756	μB per atom
density of states at the Fermi level	1.92	states/eV/atom
calculated formation energy	4.00	kcal/mol of atoms

---

3.
The following is a DFT calculation (PBE-GGA) of a relaxed structure of CeDy5Y12.

Structure (extended XYZ):
```
18
Lattice="7.5626 -7.5708 0.0000 7.5626 7.5708 0.0000 0.0000 0.0000 5.0444" Properties=species:S:1:pos:R:3 pbc="T T T"
Ce 0.0000 0.0000 0.0000
Dy 7.5626 5.0641 2.5222
Dy 7.5626 2.5240 0.0000
Dy 7.5626 0.0000 2.5222
Dy 7.5626 -2.5240 0.0000
Dy 7.5626 -5.0641 2.5222
Y 5.0544 5.0448 0.0000
Y 2.4898 0.0000 2.5222
Y 5.0637 2.5149 2.5222
Y 10.0709 5.0448 0.0000
Y 5.0511 0.0000 0.0000
Y 10.0615 2.5149 2.5222
Y 5.0637 -2.5149 2.5222
Y 10.0741 0.0000 0.0000
Y 5.0544 -5.0448 0.0000
Y 10.0615 -2.5149 2.5222
Y 12.6354 0.0000 2.5222
Y 10.0709 -5.0448 0.0000
```

space group	No. 65
spin magnetization	0.0631	μB per atom
density of states at the Fermi level	1.62	states/eV/atom
calculated formation energy	0.80	kcal/mol of atoms

---

4.
The following is a DFT calculation (PBE-GGA) of a relaxed structure of CeDy12Y7.

Structure (extended XYZ):
```
20
Lattice="6.1746 3.5649 4.9466 -6.1746 3.5649 4.9466 0.0000 -7.1298 4.9466" Properties=species:S:1:pos:R:3 pbc="T T T"
Ce 0.0000 0.0000 0.0000
Dy -2.0368 -0.4543 4.6145
Dy -0.9195 -3.3276 6.7317
Dy -3.3415 -0.8675 8.1082
Dy 1.4119 -1.5368 4.6145
Dy -2.4221 2.4601 6.7317
Dy 0.6249 1.9911 4.6145
Dy -0.6249 -1.9911 10.2254
Dy 2.4221 -2.4601 8.1082
Dy -1.4119 1.5368 10.2254
Dy 3.3415 0.8675 6.7317
Dy 0.9194 3.3276 8.1082
Dy 2.0368 0.4543 10.2254
Y -5.6092 1.1468 6.4241
Y -3.7977 -4.2844 8.4158
Y 1.8115 -5.4311 6.4241
Y 0.0000 0.0000 7.4199
Y -1.8115 5.4311 8.4157
Y 3.7977 4.2844 6.4241
Y 5.6092 -1.1468 8.4158
```

space group	No. 148
spin magnetization	0.0068	μB per atom
energy relative to the lowest polymorph listed for this composition	0.0	meV per atom
density of states at the Fermi level	2.04	states/eV/atom
calculated formation energy	5.98	kcal/mol of atoms

---

5.
The following is a DFT calculation (PBE-GGA) of a relaxed structure of CeDy12Y3.

Structure (extended XYZ):
```
16
Lattice="5.0191 0.0000 0.0000 0.0000 5.0191 0.0000 0.0000 0.0000 20.0622" Properties=species:S:1:pos:R:3 pbc="T T T"
Ce 0.0000 0.0000 0.0000
Dy 0.0000 2.5095 2.4809
Dy 0.0000 2.5095 7.5155
Dy 0.0000 2.5095 12.5467
Dy 0.0000 2.5095 17.5813
Dy 2.5095 0.0000 2.4809
Dy 2.5095 0.0000 7.5155
Dy 2.5095 0.0000 12.5467
Dy 2.5095 0.0000 17.5813
Dy 2.5095 2.5095 0.0000
Dy 2.5095 2.5095 5.0368
Dy 2.5095 2.5095 10.0311
Dy 2.5095 2.5095 15.0253
Y 0.0000 0.0000 4.9934
Y 0.0000 0.0000 10.0311
Y 0.0000 0.0000 15.0687
```

space group	No. 123
spin magnetization	0.0595	μB per atom
density of states at the Fermi level	1.41	states/eV/atom
calculated formation energy	0.74	kcal/mol of atoms

---

6.
The following is a DFT calculation (PBE-GGA) of a relaxed structure of CeDyY.

Structure (extended XYZ):
```
3
Lattice="-1.7653 1.7653 7.5067 1.7653 -1.7653 7.5067 1.7653 1.7653 -7.5067" Properties=species:S:1:pos:R:3 pbc="T T T"
Ce 0.0000 0.0000 0.0000
Dy 0.0000 0.0000 5.0795
Y 0.0000 0.0000 9.9847
```

space group	No. 107
spin magnetization	0.2340	μB per atom
energy relative to the lowest polymorph listed for this composition	9.8	meV per atom
density of states at the Fermi level	2.22	states/eV/atom
calculated formation energy	1.79	kcal/mol of atoms

---

Which of these has the lowest spin magnetization?
CeDy12Y7

---

Look up the density of states at the Fermi level of the sixth one.
2.22 states/eV/atom